(1)
A plane-wave DFT calculation with GGA-PBE was carried out for a relaxed structure of Mo2PbCl.

Calculated values
For the formation energy (no corrections), the calculation gives 0.903 eV/atom. For the excess energy over the best structure of this formula in the dataset, the calculation gives 3.35 eV per formula unit. The total energy comes out at -23.61 eV for the cell shown.

Lattice parameters (Å, degrees): 3.2998 3.2998 6.5845 90.00 90.00 90.00
Positions (direct):
1 Mo 0.0000 0.0000 0.1971
2 Mo 0.0000 0.0000 0.8029
3 Pb 0.5000 0.5000 0.5000
4 Cl 0.5000 0.5000 0.0000

=====

(2)
A plane-wave DFT calculation with GGA-PBE was carried out for a relaxed structure of TbEu2Au.

Calculated values
For the excess energy over the best structure of this formula in the dataset, the calculation gives 1.04 eV per formula unit. The total energy comes out at -28.70 eV for the cell shown.

Lattice parameters (Å, degrees): 11.5066 11.5066 11.5066 18.67 18.67 18.67
Positions (direct):
1 Tb 0.0000 0.0000 0.0000
2 Eu 0.1024 0.1024 0.1024
3 Eu 0.8976 0.8976 0.8976
4 Au 0.5000 0.5000 0.5000

=====

(3)
A plane-wave DFT calculation with GGA-PBE was carried out for a relaxed structure of Ac2ErPt.

Calculated values
For the excess energy over the best structure of this formula in the dataset, the calculation gives 0.90 eV per formula unit. The total energy comes out at -19.67 eV for the cell shown.

Lattice parameters (Å, degrees): 11.2438 11.2438 11.2438 20.76 20.76 20.76
Positions (direct):
1 Ac 0.1100 0.1100 0.1100
2 Ac 0.8900 0.8900 0.8900
3 Er 0.0000 0.0000 0.0000
4 Pt 0.5000 0.5000 0.5000

=====

Number 1: size of the total moment 0.00 μB/cell. Number 2: size of the total moment 15.26 μB/cell. Number 3: size of the total moment 0.00 μB/cell.